Computed, not measured: an optimized crystal structure of ZnIn3 at the GGA-PBEsol level of DFT.

Lattice parameters (Å, degrees): 3.3094 3.3094 28.7798 90.00 90.00 120.00
Space group R-3m (No. 166, hexagonal axes)
Inequivalent atoms, fractional coordinates:
Zn 0.0000 0.0000 0.0000
In 0.0000 0.0000 0.2583
In 0.0000 0.0000 0.5000

Computed properties:
formation enthalpy at 0 K	0.07	eV per atom
Fermi-level density of states	0.42	states/eV/atom
E	-2.559	eV/atom
density	7.48	g/cm3

---

Computed, not measured: an optimized crystal structure of SiBiTe2 at the GGA-PBEsol level of DFT.

Lattice parameters (Å, degrees): 7.919 7.919 7.173 90.00 90.00 90.00
Space group I-42d (No. 122)
Inequivalent atoms, fractional coordinates:
Si 0.000 0.000 0.000
Bi 0.000 0.000 0.500
Te 0.211 0.250 0.125

Computed properties:
ΔE_f (raw)	225	meV/atom
Fermi-level density of states	0.54	states/eV/atom
E	-4.047	eV/atom
density	7.27	g/cm3

---

Computed, not measured: an optimized crystal structure of MgH2I at the GGA-PBEsol level of DFT.

Lattice parameters (Å, degrees): 8.248 8.248 8.248 90.00 90.00 90.00
Space group Fd-3m (No. 227, origin choice 2)
Inequivalent atoms, fractional coordinates:
Mg 0.125 0.125 0.125
H 0.000 0.000 0.000
I 0.125 0.125 0.625

Computed properties:
Fermi-level density of states	0.97	states/eV/atom
E	-2.383	eV/atom
density	3.63	g/cm3

---

Computed, not measured: an optimized crystal structure of SrSc2Os at the GGA-PBEsol level of DFT.

Lattice parameters (Å, degrees): 3.250 3.250 9.237 90.00 90.00 90.00
Space group P4/mmm (No. 123)
Inequivalent atoms, fractional coordinates:
Sr 0.000 0.000 0.000
Sc 0.500 0.500 0.337
Os 0.000 0.000 0.500

Computed properties:
formation enthalpy at 0 K	-0.14	eV per atom
Fermi-level density of states	0.57	states/eV/atom
E	-6.952	eV/atom
density	6.26	g/cm3

---

Computed, not measured: an optimized crystal structure of ScPb3 at the GGA-PBEsol level of DFT.

Lattice parameters (Å, degrees): 4.496 4.496 10.433 90.00 90.00 90.00
Space group I4/mmm (No. 139)
Inequivalent atoms, fractional coordinates:
Sc 0.000 0.000 0.000
Pb 0.000 0.000 0.500
Pb 0.000 0.500 0.250

Computed properties:
formation enthalpy at 0 K	-0.15	eV per atom
Fermi-level density of states	0.75	states/eV/atom
E	-4.801	eV/atom
density	10.50	g/cm3

---

Computed, not measured: an optimized crystal structure of NbFeSb at the GGA-PBEsol level of DFT.

Lattice parameters (Å, degrees): 5.897 5.897 5.897 90.00 90.00 90.00
Space group F-43m (No. 216)
Inequivalent atoms, fractional coordinates:
Nb 0.000 0.000 0.000
Fe 0.250 0.250 0.750
Sb 0.000 0.000 0.500

Computed properties:
ΔE_f (raw)	-395	meV/atom
E	-8.510	eV/atom
density	8.76	g/cm3

---

Computed, not measured: an optimized crystal structure of LiHg2Mo at the GGA-PBEsol level of DFT.

Lattice parameters (Å, degrees): 4.018 4.018 8.745 90.00 90.00 90.00
Space group I-4m2 (No. 119)
Inequivalent atoms, fractional coordinates:
Li 0.000 0.000 0.000
Hg 0.000 0.000 0.500
Hg 0.000 0.500 0.750
Mo 0.000 0.500 0.250

Computed properties:
formation enthalpy at 0 K	0.45	eV per atom
Fermi-level density of states	0.96	states/eV/atom
E	-3.263	eV/atom
density	11.86	g/cm3

---

Computed, not measured: an optimized crystal structure of SiNF2 at the GGA-PBEsol level of DFT.

Lattice parameters (Å, degrees): 2.5684 2.5684 26.1629 90.00 90.00 120.00
Space group R-3m (No. 166, hexagonal axes)
Inequivalent atoms, fractional coordinates:
Si 0.0000 0.0000 0.0000
N 0.0000 0.0000 0.5000
F 0.0000 0.0000 0.0621

Computed properties:
ΔE_f (raw)	-97	meV/atom
Fermi-level density of states	0.26	states/eV/atom
E	-4.629	eV/atom
density	2.67	g/cm3

---

> E of number 6 (NbFeSb)?

-8.510 eV/atom